# Pr3Mg2Rh4 | the Alexandria database | PBE-GGA | optimized geometry
data_Pr3Mg2Rh4
_chemical_formula_sum 'Pr6 Mg4 Rh8'
_cell_length_a 10.4444
_cell_length_b 4.2959
_cell_length_c 8.8810
_cell_angle_alpha 90.00
_cell_angle_beta 96.63
_cell_angle_gamma 90.00
_symmetry_space_group_name_H-M 'C 1 2/m 1'
_symmetry_Int_Tables_number 12
_symmetry_space_group_name_Hall '-C 2y'
loop_
_atom_site_label
_atom_site_type_symbol
_atom_site_fract_x
_atom_site_fract_y
_atom_site_fract_z
Pr1 Pr 0.0000 0.0000 0.0000
Pr2 Pr 0.1232 0.5000 0.3808
Mg1 Mg 0.1799 0.5000 0.7866
Rh1 Rh 0.0910 0.0000 0.6277
Rh2 Rh 0.2056 0.5000 0.0886
# * formation enthalpy at 0 K: -5.0 eV per formula unit
# * mass density: 7.41 g/cm³
# * V: 21.99 Å³/atom
# * raw total energy: -103.85 eV per cell

# PrMg5Rh2 | the Alexandria database | PBE-GGA | optimized geometry
data_PrMg5Rh2
_chemical_formula_sum 'Pr2 Mg10 Rh4'
_cell_length_a 4.1855
_cell_length_b 8.3171
_cell_length_c 9.8024
_cell_angle_alpha 90.00
_cell_angle_beta 90.00
_cell_angle_gamma 90.00
_symmetry_space_group_name_H-M 'I m m m'
_symmetry_Int_Tables_number 71
_symmetry_space_group_name_Hall '-I 2 2'
loop_
_atom_site_label
_atom_site_type_symbol
_atom_site_fract_x
_atom_site_fract_y
_atom_site_fract_z
Pr1 Pr 0.0000 0.0000 0.0000
Mg1 Mg 0.0000 0.1827 0.3335
Mg2 Mg 0.0000 0.5000 0.0000
Rh1 Rh 0.0000 0.5000 0.2698
# * formation enthalpy at 0 K: -3.0 eV per formula unit
# * mass density: 4.56 g/cm³
# * V: 21.33 Å³/atom
# * raw total energy: -60.92 eV per cell

# Pr6Mg2Rh | the Alexandria database | PBE-GGA | optimized geometry
data_Pr6Mg2Rh
_chemical_formula_sum 'Pr12 Mg4 Rh2'
_cell_length_a 7.2162
_cell_length_b 7.2795
_cell_length_c 13.2759
_cell_angle_alpha 90.00
_cell_angle_beta 121.33
_cell_angle_gamma 90.00
_symmetry_space_group_name_H-M 'P 1 21/c 1'
_symmetry_Int_Tables_number 14
_symmetry_space_group_name_Hall '-P 2ybc'
loop_
_atom_site_label
_atom_site_type_symbol
_atom_site_fract_x
_atom_site_fract_y
_atom_site_fract_z
Pr1 Pr 0.1721 0.1771 0.4734
Pr2 Pr 0.3014 0.7002 0.4743
Pr3 Pr 0.3251 0.5350 0.7458
Mg1 Mg 0.1913 0.0806 0.7486
Rh1 Rh 0.0000 0.0000 0.0000
# * formation enthalpy at 0 K: -0.9 eV per formula unit
# * mass density: 5.56 g/cm³
# * V: 33.09 Å³/atom
# * raw total energy: -80.16 eV per cell

# Pr2MgRh | the Alexandria database | PBE-GGA | optimized geometry
data_Pr2MgRh
_chemical_formula_sum 'Pr6 Mg3 Rh3'
_cell_length_a 4.1009
_cell_length_b 4.1009
_cell_length_c 25.5688
_cell_angle_alpha 90.00
_cell_angle_beta 90.00
_cell_angle_gamma 120.00
_symmetry_space_group_name_H-M 'R 3 m'
_symmetry_Int_Tables_number 160
_symmetry_space_group_name_Hall 'R 3 -2"'
loop_
_atom_site_label
_atom_site_type_symbol
_atom_site_fract_x
_atom_site_fract_y
_atom_site_fract_z
Pr1 Pr 0.0000 0.0000 0.0000
Pr2 Pr 0.0000 0.0000 0.2083
Mg1 Mg 0.0000 0.0000 0.7705
Rh1 Rh 0.0000 0.0000 0.6047
# * formation enthalpy at 0 K: -1.1 eV per formula unit
# * excess energy over the best structure of this formula in the dataset: 0.25 eV per formula unit
# * mass density: 5.47 g/cm³
# * V: 31.03 Å³/atom
# * raw total energy: -58.90 eV per cell

# PrMg9Rh2 | the Alexandria database | PBE-GGA | optimized geometry
data_PrMg9Rh2
_chemical_formula_sum 'Pr4 Mg36 Rh8'
_cell_length_a 11.5617
_cell_length_b 11.5617
_cell_length_c 7.5949
_cell_angle_alpha 90.00
_cell_angle_beta 90.00
_cell_angle_gamma 90.00
_symmetry_space_group_name_H-M 'I 41/a m d'
_symmetry_Int_Tables_number 141
loop_
_symmetry_equiv_pos_as_xyz
'x,y,z'
'-x,-y,-z'
'-y+1/4,x+3/4,z+1/4'
'y+1/4,-x+3/4,-z+1/4'
'-x+1/2,-y,z+1/2'
'x+1/2,y,-z+1/2'
'y+1/4,-x+1/4,z+3/4'
'-y+1/4,x+1/4,-z+3/4'
'x,-y,-z'
'-x,y,z'
'-y+1/4,-x+1/4,-z+3/4'
'y+1/4,x+1/4,z+3/4'
'-x+1/2,y,-z+1/2'
'x+1/2,-y,z+1/2'
'y+1/4,x+3/4,-z+1/4'
'-y+1/4,-x+3/4,z+1/4'
'x+1/2,y+1/2,z+1/2'
'-x+1/2,-y+1/2,-z+1/2'
'-y+3/4,x+1/4,z+3/4'
'y+3/4,-x+1/4,-z+3/4'
'-x,-y+1/2,z'
'x,y+1/2,-z'
'y+3/4,-x+3/4,z+1/4'
'-y+3/4,x+3/4,-z+1/4'
'x+1/2,-y+1/2,-z+1/2'
'-x+1/2,y+1/2,z+1/2'
'-y+3/4,-x+3/4,-z+1/4'
'y+3/4,x+3/4,z+1/4'
'-x,y+1/2,-z'
'x,-y+1/2,z'
'y+3/4,x+1/4,-z+3/4'
'-y+3/4,-x+1/4,z+3/4'
loop_
_atom_site_label
_atom_site_type_symbol
_atom_site_fract_x
_atom_site_fract_y
_atom_site_fract_z
Pr1 Pr 0.0000 0.2500 0.3750
Mg1 Mg 0.0000 0.2500 0.8750
Mg2 Mg 0.1221 0.0519 0.6938
Rh1 Rh 0.0000 0.0000 0.0000
# * formation enthalpy at 0 K: -2.9 eV per formula unit
# * mass density: 3.70 g/cm³
# * V: 21.15 Å³/atom
# * raw total energy: -147.00 eV per cell

# PrMg3Rh2 | the Alexandria database | PBE-GGA | optimized geometry
data_PrMg3Rh2
_chemical_formula_sum 'Pr4 Mg12 Rh8'
_cell_length_a 16.4775
_cell_length_b 4.1014
_cell_length_c 8.6969
_cell_angle_alpha 90.00
_cell_angle_beta 120.94
_cell_angle_gamma 90.00
_symmetry_space_group_name_H-M 'C 1 2/m 1'
_symmetry_Int_Tables_number 12
_symmetry_space_group_name_Hall '-C 2y'
loop_
_atom_site_label
_atom_site_type_symbol
_atom_site_fract_x
_atom_site_fract_y
_atom_site_fract_z
Pr1 Pr 0.1365 0.0000 0.1915
Mg1 Mg 0.0388 0.0000 0.7007
Mg2 Mg 0.1217 0.5000 0.5033
Mg3 Mg 0.1802 0.5000 0.9032
Rh1 Rh 0.0054 0.5000 0.8546
Rh2 Rh 0.2113 0.0000 0.7301
# * formation enthalpy at 0 K: -2.5 eV per formula unit
# * mass density: 5.53 g/cm³
# * V: 21.00 Å³/atom
# * raw total energy: -107.22 eV per cell

# PrMg11Rh | the Alexandria database | PBE-GGA | optimized geometry
data_PrMg11Rh
_chemical_formula_sum 'Pr2 Mg22 Rh2'
_cell_length_a 5.6541
_cell_length_b 14.3666
_cell_length_c 7.7098
_cell_angle_alpha 90.00
_cell_angle_beta 110.65
_cell_angle_gamma 90.00
_symmetry_space_group_name_H-M 'C 1 2/m 1'
_symmetry_Int_Tables_number 12
_symmetry_space_group_name_Hall '-C 2y'
loop_
_atom_site_label
_atom_site_type_symbol
_atom_site_fract_x
_atom_site_fract_y
_atom_site_fract_z
Pr1 Pr 0.0000 0.0000 0.0000
Mg1 Mg 0.0000 0.0000 0.5000
Mg2 Mg 0.0960 0.3980 0.2235
Mg3 Mg 0.1959 0.1668 0.3626
Mg4 Mg 0.2500 0.2500 0.0000
Rh1 Rh 0.0000 0.5000 0.5000
# * formation enthalpy at 0 K: -1.9 eV per formula unit
# * mass density: 2.90 g/cm³
# * V: 22.54 Å³/atom
# * raw total energy: -63.17 eV per cell

# Pr3MgRh3 | the Alexandria database | PBE-GGA | optimized geometry
data_Pr3MgRh3
_chemical_formula_sum 'Pr12 Mg4 Rh12'
_cell_length_a 4.2577
_cell_length_b 10.7258
_cell_length_c 14.1869
_cell_angle_alpha 90.00
_cell_angle_beta 90.00
_cell_angle_gamma 90.00
_symmetry_space_group_name_H-M 'C m c m'
_symmetry_Int_Tables_number 63
_symmetry_space_group_name_Hall '-C 2c 2'
loop_
_atom_site_label
_atom_site_type_symbol
_atom_site_fract_x
_atom_site_fract_y
_atom_site_fract_z
Pr1 Pr 0.0000 0.0234 0.2500
Pr2 Pr 0.0000 0.2995 0.1064
Mg1 Mg 0.0000 0.0000 0.0000
Rh1 Rh 0.0000 0.2528 0.7500
Rh2 Rh 0.0000 0.4118 0.5915
# * formation enthalpy at 0 K: -4.4 eV per formula unit
# * excess energy over the best structure of this formula in the dataset: 0.00 eV per formula unit
# * mass density: 7.75 g/cm³
# * V: 23.14 Å³/atom
# * raw total energy: -169.41 eV per cell

Question: The lowest formation enthalpy at 0 K belongs to which entry?
Answer: Pr3Mg2Rh4

Question: What is the mass density in the first record?
Answer: 7.41 g/cm³